Record 1
A plane-wave DFT calculation with PBE-GGA was carried out for a geometry-optimized NaNiRu3 structure.

a b c (Å): 4.5633 4.5633 4.5633
angles (deg): 90.00 90.00 90.00
Space group Pm-3m (No. 221)
One atom of each set of equivalent atoms:
Na 0.0000 0.0000 0.0000
Ni 0.5000 0.5000 0.5000
Ru 0.0000 0.5000 0.5000

Values from the calculation:
As for the offset from the most stable computed form: 0.000 eV per atom. As for the total energy: -5.556 eV per atom. The formation energy is 1430 meV/atom.


Record 2
A plane-wave DFT calculation with PBE-GGA was carried out for a geometry-optimized NaNi3Ru structure.

a b c (Å): 4.5522 4.5522 4.5522
angles (deg): 90.00 90.00 90.00
Space group Pm-3m (No. 221)
One atom of each set of equivalent atoms:
Na 0.0000 0.0000 0.0000
Ni 0.0000 0.5000 0.5000
Ru 0.5000 0.5000 0.5000

Values from the calculation:
As for the offset from the most stable computed form: 0.000 eV per atom. As for the total energy: -4.573 eV per atom. The formation energy is 1014 meV/atom.


Record 3
A plane-wave DFT calculation with PBE-GGA was carried out for a geometry-optimized NaNi2Ru structure.

a b c (Å): 6.0465 6.0465 6.0465
angles (deg): 90.00 90.00 90.00
Space group Fm-3m (No. 225)
One atom of each set of equivalent atoms:
Na 0.0000 0.0000 0.0000
Ni 0.2500 0.2500 0.2500
Ru 0.0000 0.0000 0.5000

Values from the calculation:
As for the offset from the most stable computed form: 0.000 eV per atom. As for the total energy: -4.935 eV per atom. The formation energy is 604 meV/atom.


Record 4
A plane-wave DFT calculation with PBE-GGA was carried out for a geometry-optimized Na3NiRu structure.

a b c (Å): 5.1713 5.1713 5.1713
angles (deg): 90.00 90.00 90.00
Space group Pm-3m (No. 221)
One atom of each set of equivalent atoms:
Na 0.0000 0.0000 0.5000
Ni 0.0000 0.0000 0.0000
Ru 0.5000 0.5000 0.5000

Values from the calculation:
As for the offset from the most stable computed form: 0.000 eV per atom. As for the total energy: -2.468 eV per atom. The formation energy is 1335 meV/atom.


Record 5
A plane-wave DFT calculation with PBE-GGA was carried out for a geometry-optimized NaNiRu2 structure.

a b c (Å): 3.6515 3.6515 18.9155
angles (deg): 90.00 90.00 90.00
Space group I-42d (No. 122)
One atom of each set of equivalent atoms:
Na 0.0000 0.0000 0.0000
Ni 0.0000 0.0000 0.5000
Ru 0.2166 0.2500 0.6250

Values from the calculation:
As for the offset from the most stable computed form: 0.074 eV per atom. As for the total energy: -5.419 eV per atom. The formation energy is 994 meV/atom.


Record 6
A plane-wave DFT calculation with PBE-GGA was carried out for a geometry-optimized NaNiRu3 structure.

a b c (Å): 4.4344 4.4344 4.4344
angles (deg): 90.00 90.00 90.00
Space group Pm-3m (No. 221)
One atom of each set of equivalent atoms:
Na 0.0000 0.0000 0.0000
Ni 0.5000 0.5000 0.5000
Ru 0.0000 0.0000 0.5000

Values from the calculation:
As for the offset from the most stable computed form: 1.120 eV per atom. As for the total energy: -4.435 eV per atom. The formation energy is 2550 meV/atom.


Record 7
A plane-wave DFT calculation with PBE-GGA was carried out for a geometry-optimized Na2NiRu structure.

a b c (Å): 7.9402 7.9402 4.9236
angles (deg): 90.00 90.00 90.00
Space group I-42d (No. 122)
One atom of each set of equivalent atoms:
Na 0.2204 0.2500 0.1250
Ni 0.0000 0.0000 0.0000
Ru 0.0000 0.0000 0.5000

Values from the calculation:
As for the offset from the most stable computed form: 0.000 eV per atom. As for the total energy: -3.368 eV per atom. The formation energy is 1056 meV/atom.


Record 8
A plane-wave DFT calculation with PBE-GGA was carried out for a geometry-optimized NaScNiRu2 structure.

a b c (Å): 4.4937 4.4937 4.4837
angles (deg): 90.00 90.00 90.00
Space group P4/mmm (No. 123)
One atom of each set of equivalent atoms:
Na 0.0000 0.0000 0.0000
Sc 0.0000 0.0000 0.5000
Ni 0.5000 0.5000 0.5000
Ru 0.0000 0.5000 0.0000

Values from the calculation:
As for the total energy: -4.483 eV per atom. The formation energy is 1914 meV/atom.